Compound: TbPS4Cl
Source: the Alexandria database
Functional: GGA-PBE
Structure: relaxed

Crystal system ... monoclinic
M_tot ... 0.0 μB/f.u.
Calculated density ... 2.88 g/cm3
Electronic total energy ... -68.393 eV/cell

abc: 6.855 6.855 8.894
angles: 84.26 84.26 79.58
Fractional coordinates of all 14 atoms:
S  0.491  0.847  0.888
S  0.694  0.694  0.544
S  0.306  0.306  0.456
S  0.577  0.577  0.277
S  0.509  0.153  0.112
S  0.153  0.509  0.112
S  0.847  0.491  0.888
S  0.423  0.423  0.723
Tb  0.191  0.191  0.939
Tb  0.809  0.809  0.061
Cl  0.979  0.979  0.808
Cl  0.021  0.021  0.192
P  0.609  0.609  0.758
P  0.391  0.391  0.242